1.
Material: AlGe2Pt2
Method: DFT, PBE
State: optimized geometry

DFT formation energy = -250 meV/atom
Energy = -52.618 eV for the cell shown
Space group = P4/mbm, No. 127
Fermi-level density of states = 0.33 states/eV per atom

Unit cell a=6.789 b=6.789 c=3.805 alpha=90.00 beta=90.00 gamma=90.00
Fractional coordinates of all 10 atoms:
Ge: 0.343 0.157 0.500
Ge: 0.657 0.843 0.500
Al: 0.500 0.500 0.000
Pt: 0.847 0.653 0.000
Ge: 0.157 0.657 0.500
Pt: 0.347 0.847 0.000
Al: 0.000 0.000 0.000
Ge: 0.843 0.343 0.500
Pt: 0.153 0.347 0.000
Pt: 0.653 0.153 0.000


2.
Material: Ce12ErCo6
Method: DFT, PBE
State: optimized geometry

DFT formation energy = 38 meV/atom
Energy = -117.677 eV for the cell shown
Space group = R-3m, No. 166
Fermi-level density of states = 2.25 states/eV per atom

Unit cell a=7.631 b=7.631 c=7.631 alpha=82.22 beta=82.22 gamma=82.22
Fractional coordinates of all 19 atoms:
Co: 0.165 0.754 0.754
Ce: 0.443 0.840 0.443
Co: 0.246 0.835 0.246
Co: 0.754 0.165 0.754
Er: 0.000 0.000 0.000
Ce: 0.160 0.557 0.557
Co: 0.835 0.246 0.246
Ce: 0.115 0.115 0.545
Ce: 0.885 0.455 0.885
Ce: 0.115 0.545 0.115
Co: 0.754 0.754 0.165
Ce: 0.545 0.115 0.115
Ce: 0.885 0.885 0.455
Ce: 0.443 0.443 0.840
Ce: 0.557 0.557 0.160
Ce: 0.840 0.443 0.443
Co: 0.246 0.246 0.835
Ce: 0.455 0.885 0.885
Ce: 0.557 0.160 0.557


3.
Material: LaBeBr2
Method: DFT, PBE
State: optimized geometry

Energy = -13.800 eV for the cell shown
Energy relative to the lowest polymorph listed for this composition = 343.2 meV/atom
Uncorrected formation energy = -0.450 eV/atom
Space group = Fm-3m, No. 225
Fermi-level density of states = 0.92 states/eV per atom

Unit cell a=5.237 b=5.237 c=5.237 alpha=60.00 beta=60.00 gamma=60.00
Site moments in Bohr magnetons follow the coordinates.
Fractional coordinates of all 4 atoms:
Be: 0.000 0.000 0.000  0.07
Br: 0.750 0.750 0.750  0.02
La: 0.500 0.500 0.500  0.30
Br: 0.250 0.250 0.250  0.02


4.
Material: TaNbCu2Se
Method: DFT, PBE
State: optimized geometry

Energy = -29.234 eV for the cell shown
Uncorrected formation energy = 0.873 eV/atom
Space group = P4/mmm, No. 123
Fermi-level density of states = 0.94 states/eV per atom

Unit cell a=4.387 b=4.843 c=4.387 alpha=90.00 beta=90.00 gamma=90.00
Fractional coordinates of all 5 atoms:
Ta: 0.000 0.500 0.000
Cu: 0.000 0.000 0.500
Se: 0.000 0.000 0.000
Nb: 0.500 0.500 0.500
Cu: 0.500 0.000 0.000


5.
Material: TiAl3
Method: DFT, PBE
State: optimized geometry

DFT formation energy = -405 meV/atom
Energy = -41.488 eV for the cell shown
Space group = I4/mmm, No. 139
Fermi-level density of states = 0.41 states/eV per atom

Unit cell a=3.894 b=3.894 c=8.773 alpha=102.82 beta=102.82 gamma=90.00
Fractional coordinates of all 8 atoms:
Al: 0.250 0.750 0.500
Ti: 0.881 0.881 0.762
Al: 0.625 0.625 0.250
Al: 0.500 0.000 0.000
Al: 0.375 0.375 0.750
Ti: 0.119 0.119 0.238
Al: 0.000 0.500 0.000
Al: 0.750 0.250 0.500


6.
Material: FeTcRh
Method: DFT, PBE
State: optimized geometry

DFT formation energy = 20 meV/atom
Energy = -26.119 eV for the cell shown
Energy relative to the lowest polymorph listed for this composition = 15.3 meV/atom
Space group = I4mm, No. 107
Fermi-level density of states = 1.43 states/eV per atom

Unit cell a=5.923 b=5.923 c=5.923 alpha=153.86 beta=153.86 gamma=37.30
Site moments in Bohr magnetons follow the coordinates.
Fractional coordinates of all 3 atoms:
Tc: 0.663 0.663 0.000  -0.22
Fe: 0.001 0.001 0.000  2.16
Rh: 0.336 0.336 0.000  0.15


7.
Material: Pm8Si3Te3S
Method: DFT, PBE
State: optimized geometry

Energy = -84.826 eV for the cell shown
Uncorrected formation energy = -1.133 eV/atom
Space group = R-3m, No. 166
Fermi-level density of states = 0.52 states/eV per atom

Unit cell a=8.522 b=8.521 c=8.734 alpha=119.20 beta=90.00 gamma=120.00
Fractional coordinates of all 15 atoms:
Pm: 0.239 0.479 0.718
Si: 0.500 0.500 0.500
Pm: 0.761 0.521 0.282
Pm: 0.239 0.979 0.718
Si: 0.500 0.000 0.500
Pm: 0.740 0.979 0.718
S: 0.000 0.000 0.500
Pm: 0.259 0.518 0.277
Pm: 0.761 0.021 0.282
Te: 0.000 0.000 0.000
Te: 0.500 0.500 0.000
Pm: 0.741 0.482 0.723
Te: 0.000 0.500 0.000
Pm: 0.260 0.021 0.282
Si: 0.000 0.500 0.500


8.
Material: CaFeOs
Method: DFT, PBE
State: optimized geometry

DFT formation energy = 275 meV/atom
Energy = -41.740 eV for the cell shown
Energy relative to the lowest polymorph listed for this composition = 137.7 meV/atom
Space group = Cm, No. 8
Fermi-level density of states = 0.93 states/eV per atom

Unit cell a=3.865 b=5.807 c=6.062 alpha=104.60 beta=71.41 gamma=109.44
Site moments in Bohr magnetons follow the coordinates.
Fractional coordinates of all 6 atoms:
Ca: 0.720 0.115 0.715  0.02
Os: 0.385 0.625 0.896  0.24
Fe: 0.910 0.885 0.107  2.34
Os: 0.264 0.824 0.338  0.15
Ca: 0.565 0.394 0.305  0.00
Fe: 0.015 0.673 0.685  -0.56


9.
Material: BaCd3
Method: DFT, PBE
State: optimized geometry

DFT formation energy = -162 meV/atom
Energy = -5.314 eV for the cell shown
Space group = P4/mmm, No. 123
Fermi-level density of states = 0.69 states/eV per atom

Unit cell a=4.044 b=4.044 c=7.553 alpha=90.00 beta=90.00 gamma=90.00
Fractional coordinates of all 4 atoms:
Cd: 0.000 0.000 0.500
Cd: 0.500 0.500 0.300
Cd: 0.500 0.500 0.700
Ba: 0.000 0.000 0.000


10.
Material: TaBi
Method: DFT, PBE
State: optimized geometry

DFT formation energy = 858 meV/atom
Energy = -56.071 eV for the cell shown
Space group = P4_2/mnm, No. 136
Fermi-level density of states = 0.24 states/eV per atom

Unit cell a=6.155 b=6.155 c=5.723 alpha=90.00 beta=90.00 gamma=90.00
Fractional coordinates of all 8 atoms:
Bi: 0.303 0.303 0.000
Ta: 0.645 0.645 0.500
Ta: 0.855 0.145 0.000
Bi: 0.697 0.697 0.000
Bi: 0.197 0.803 0.500
Bi: 0.803 0.197 0.500
Ta: 0.355 0.355 0.500
Ta: 0.145 0.855 0.000


11.
Material: Hg3GeSb
Method: DFT, PBE
State: optimized geometry

Energy = -7.429 eV for the cell shown
Energy relative to the lowest polymorph listed for this composition = 0.0 meV/atom
Uncorrected formation energy = 0.443 eV/atom
Space group = Pm-3m, No. 221
Fermi-level density of states = 0.71 states/eV per atom

Unit cell a=5.307 b=5.307 c=5.307 alpha=90.00 beta=90.00 gamma=90.00
Site moments in Bohr magnetons follow the coordinates.
Fractional coordinates of all 5 atoms:
Sb: 0.500 0.500 0.500  0.46
Hg: 0.000 0.500 0.000  0.03
Ge: 0.000 0.000 0.000  0.07
Hg: 0.000 0.000 0.500  0.02
Hg: 0.500 0.000 0.000  0.04


12.
Material: PtPb3Se
Method: DFT, PBE
State: optimized geometry

Energy = -17.434 eV for the cell shown
Energy relative to the lowest polymorph listed for this composition = 602.7 meV/atom
Uncorrected formation energy = 0.643 eV/atom
Space group = Pm-3m, No. 221
Fermi-level density of states = 0.70 states/eV per atom

Unit cell a=5.587 b=5.587 c=5.587 alpha=90.00 beta=90.00 gamma=90.00
Fractional coordinates of all 5 atoms:
Pb: 0.500 0.000 0.000
Pb: 0.000 0.500 0.000
Se: 0.000 0.000 0.000
Pt: 0.500 0.500 0.500
Pb: 0.000 0.000 0.500


13.
Material: Er3Ga9Fe2
Method: DFT, PBE
State: optimized geometry

DFT formation energy = -454 meV/atom
Energy = -64.209 eV for the cell shown
Space group = Immm, No. 71
Fermi-level density of states = 0.45 states/eV per atom

Unit cell a=4.197 b=8.016 c=8.016 alpha=71.90 beta=74.82 gamma=74.82
Site moments in Bohr magnetons follow the coordinates.
Fractional coordinates of all 14 atoms:
Ga: 0.348 0.015 0.289  -0.01
Er: 0.304 0.696 0.696  -0.12
Ga: 0.652 0.711 0.985  -0.01
Fe: 0.500 0.321 0.679  1.62
Ga: 0.869 0.416 0.846  -0.02
Er: 0.000 0.000 0.000  -0.09
Ga: 0.131 0.584 0.154  -0.02
Er: 0.696 0.304 0.304  -0.12
Ga: 0.652 0.985 0.711  -0.01
Ga: 0.131 0.154 0.584  -0.02
Fe: 0.500 0.679 0.321  1.62
Ga: 0.348 0.289 0.015  -0.01
Ga: 0.000 0.500 0.500  -0.03
Ga: 0.869 0.846 0.416  -0.02